# 1
# GGA-PBE Ac6PmPr2, optimized geometry
data_Ac6PmPr2
_cell_length_a 3.9042
_cell_length_b 3.9042
_cell_length_c 29.0093
_cell_angle_alpha 90.00
_cell_angle_beta 90.00
_cell_angle_gamma 120.00
_space_group_name_H-M_alt 'P -6 m 2'
_space_group_IT_number 187
_space_group_name_Hall 'P -6 2'
loop_
_atom_site_label
_atom_site_type_symbol
_atom_site_fract_x
_atom_site_fract_y
_atom_site_fract_z
_atom_site_occupancy
Ac1 Ac 0.0000 0.0000 0.0658 1
Ac2 Ac 0.0000 0.0000 0.2799 1
Ac3 Ac 0.3333 0.6667 0.3946 1
Pm1 Pm 0.0000 0.0000 0.5000 1
Pr1 Pr 0.3333 0.6667 0.1709 1
# E_tot ... -4.25 eV per atom
# Distance to the lowest polymorph of the same formula ... 0.0 meV/atom
# Volume ... 42.55 A^3/atom
# Magnetic moment ... 0.00 μB/cell
# ρ ... 7.8 g cm⁻³

# 2
# GGA-PBE Tb4TlTe2S, optimized geometry
data_Tb4TlTe2S
_cell_length_a 7.428
_cell_length_b 4.197
_cell_length_c 7.550
_cell_angle_alpha 90.00
_cell_angle_beta 108.57
_cell_angle_gamma 90.00
_space_group_name_H-M_alt 'P 1 2/m 1'
_space_group_IT_number 10
loop_
_space_group_symop_operation_xyz
'x,y,z'
'-x,-y,-z'
'-x,y,-z'
'x,-y,z'
loop_
_atom_site_label
_atom_site_type_symbol
_atom_site_fract_x
_atom_site_fract_y
_atom_site_fract_z
_atom_site_occupancy
Tb1 Tb 0.229 0.000 0.219 1
Tb2 Tb 0.245 0.500 0.764 1
Tl1 Tl 0.500 0.000 0.000 1
Te1 Te 0.000 0.000 0.500 1
Te2 Te 0.500 0.500 0.500 1
S1 S 0.000 0.500 0.000 1
# E_tot ... -5.13 eV per atom
# Volume ... 27.89 A^3/atom
# Magnetic moment ... 0.00 μB/cell
# ρ ... 8.4 g cm⁻³
# Formation energy from raw total energies ... -1.220 eV per atom

# 3
# GGA-PBE HfCuPbBr2, optimized geometry
data_HfCuPbBr2
_cell_length_a 4.740
_cell_length_b 4.740
_cell_length_c 5.548
_cell_angle_alpha 90.00
_cell_angle_beta 90.00
_cell_angle_gamma 90.00
_space_group_name_H-M_alt 'P 4/m m m'
_space_group_IT_number 123
_space_group_name_Hall '-P 4 2'
loop_
_atom_site_label
_atom_site_type_symbol
_atom_site_fract_x
_atom_site_fract_y
_atom_site_fract_z
_atom_site_occupancy
Hf1 Hf 0.000 0.000 0.000 1
Cu1 Cu 0.500 0.500 0.500 1
Pb1 Pb 0.500 0.500 0.000 1
Br1 Br 0.000 0.500 0.500 1
# E_tot ... -3.71 eV per atom
# Volume ... 24.93 A^3/atom
# Magnetic moment ... 0.83 μB/cell
# ρ ... 8.1 g cm⁻³
# Formation energy from raw total energies ... 0.511 eV per atom

# 4
# GGA-PBE AlH2W, optimized geometry
data_AlH2W
_cell_length_a 4.298
_cell_length_b 4.298
_cell_length_c 8.101
_cell_angle_alpha 90.00
_cell_angle_beta 90.00
_cell_angle_gamma 90.00
_space_group_name_H-M_alt 'I -4 2 d'
_space_group_IT_number 122
_space_group_name_Hall 'I -4 2bw'
loop_
_atom_site_label
_atom_site_type_symbol
_atom_site_fract_x
_atom_site_fract_y
_atom_site_fract_z
_atom_site_occupancy
Al1 Al 0.000 0.000 0.000 1
H1 H 0.250 0.250 0.125 1
W1 W 0.000 0.000 0.500 1
# E_tot ... -5.51 eV per atom
# Distance to the lowest polymorph of the same formula ... 139.7 meV/atom
# Volume ... 9.35 A^3/atom
# Magnetic moment ... 0.00 μB/cell
# ρ ... 9.4 g cm⁻³

# 5
# GGA-PBE MgSeCl4, optimized geometry
data_MgSeCl4
_cell_length_a 8.357
_cell_length_b 8.357
_cell_length_c 8.357
_cell_angle_alpha 90.00
_cell_angle_beta 90.00
_cell_angle_gamma 90.00
_space_group_name_H-M_alt 'F -4 3 m'
_space_group_IT_number 216
_space_group_name_Hall 'F -4 2 3'
loop_
_atom_site_label
_atom_site_type_symbol
_atom_site_fract_x
_atom_site_fract_y
_atom_site_fract_z
_atom_site_occupancy
Mg1 Mg 0.000 0.000 0.000 1
Se1 Se 0.250 0.250 0.750 1
Cl1 Cl 0.126 0.126 0.374 1
# E_tot ... -1.67 eV per atom
# Volume ... 24.32 A^3/atom
# Magnetic moment ... 15.69 μB/cell
# ρ ... 2.8 g cm⁻³
# Formation energy from raw total energies ... 0.403 eV per atom

# 6
# GGA-PBE Li2Cd2SbO6, optimized geometry
data_Li2Cd2SbO6
_cell_length_a 5.2921
_cell_length_b 5.2921
_cell_length_c 5.2429
_cell_angle_alpha 90.00
_cell_angle_beta 90.00
_cell_angle_gamma 120.00
_space_group_name_H-M_alt 'P -3 1 m'
_space_group_IT_number 162
_space_group_name_Hall '-P 3 2'
loop_
_atom_site_label
_atom_site_type_symbol
_atom_site_fract_x
_atom_site_fract_y
_atom_site_fract_z
_atom_site_occupancy
Li1 Li 0.3333 0.6667 0.0000 1
Cd1 Cd 0.3333 0.6667 0.5000 1
Sb1 Sb 0.0000 0.0000 0.0000 1
O1 O 0.0000 0.3214 0.2120 1
# E_tot ... -4.88 eV per atom
# Volume ... 11.56 A^3/atom
# Magnetic moment ... 1.05 μB/cell
# ρ ... 6.0 g cm⁻³
# Formation energy from raw total energies ... -1.283 eV per atom

# 7
# GGA-PBE PrSiBr, optimized geometry
data_PrSiBr
_cell_length_a 3.619
_cell_length_b 4.713
_cell_length_c 19.945
_cell_angle_alpha 90.00
_cell_angle_beta 90.00
_cell_angle_gamma 90.00
_space_group_name_H-M_alt 'I m m m'
_space_group_IT_number 71
_space_group_name_Hall '-I 2 2'
loop_
_atom_site_label
_atom_site_type_symbol
_atom_site_fract_x
_atom_site_fract_y
_atom_site_fract_z
_atom_site_occupancy
Pr1 Pr 0.000 0.000 0.137 1
Si1 Si 0.000 0.249 0.000 1
Br1 Br 0.000 0.000 0.311 1
# E_tot ... -4.55 eV per atom
# Volume ... 28.35 A^3/atom
# Magnetic moment ... 0.00 μB/cell
# ρ ... 4.9 g cm⁻³
# Formation energy from raw total energies ... -0.594 eV per atom

# 8
# GGA-PBE Cs3TlPb, optimized geometry
data_Cs3TlPb
_cell_length_a 7.214
_cell_length_b 7.214
_cell_length_c 7.214
_cell_angle_alpha 90.00
_cell_angle_beta 90.00
_cell_angle_gamma 90.00
_space_group_name_H-M_alt 'P m -3 m'
_space_group_IT_number 221
_space_group_name_Hall '-P 4 2 3'
loop_
_atom_site_label
_atom_site_type_symbol
_atom_site_fract_x
_atom_site_fract_y
_atom_site_fract_z
_atom_site_occupancy
Cs1 Cs 0.000 0.000 0.500 1
Tl1 Tl 0.000 0.000 0.000 1
Pb1 Pb 0.500 0.500 0.500 1
# E_tot ... -1.43 eV per atom
# Distance to the lowest polymorph of the same formula ... 355.9 meV/atom
# Volume ... 75.09 A^3/atom
# Magnetic moment ... 2.10 μB/cell
# ρ ... 3.6 g cm⁻³

ρ of number 7 (PrSiBr)? 4.9 g cm⁻³